## LiZnSi2 (GGA-PBE)

Data for crystalline LiZnSi2 at its relaxed geometry.

Formation energy without anion corrections = 0.08 eV/atom
Electronic total energy = -13.70 eV/cell
Space group = I4/mmm, No. 139

POSCAR file:
```
LiZnSi2
1.0
-1.900 1.900 4.017
1.900 -1.900 4.017
1.900 1.900 -4.017
Li Zn Si
1 1 2
Direct
0.000 0.000 0.000
0.500 0.500 0.000
0.250 0.750 0.500
0.750 0.250 0.500
```

=====

## Hf2ThSe6 (GGA-PBE)

Data for crystalline Hf2ThSe6 at its relaxed geometry.

Formation energy without anion corrections = -1.34 eV/atom
Electronic total energy = -60.29 eV/cell
Space group = C2/m, No. 12

POSCAR file:
```
Hf2ThSe6
1.0
6.823 -2.530 0.000
6.823 2.530 0.000
-5.336 0.000 7.496
Hf Th Se
2 1 6
Direct
0.179 0.179 0.111
0.821 0.821 0.889
0.000 0.000 0.500
0.034 0.034 0.207
0.256 0.256 0.883
0.360 0.360 0.443
0.640 0.640 0.557
0.744 0.744 0.117
0.966 0.966 0.793
```

=====

## CsSn2Hg2 (GGA-PBE)

Data for crystalline CsSn2Hg2 at its relaxed geometry.

Electronic total energy = -19.16 eV/cell
Space group = P4/mbm, No. 127
Energy of formation from the pure elements = -24 meV per atom

POSCAR file:
```
CsSn2Hg2
1.0
9.495 0.000 0.000
0.000 9.495 0.000
0.000 0.000 3.505
Cs Sn Hg
2 4 4
Direct
0.000 0.000 0.000
0.500 0.500 0.000
0.123 0.377 0.000
0.377 0.877 0.000
0.623 0.123 0.000
0.877 0.623 0.000
0.164 0.664 0.500
0.336 0.164 0.500
0.664 0.836 0.500
0.836 0.336 0.500
```

=====

## TbGdS (GGA-PBE)

Data for crystalline TbGdS at its relaxed geometry.

Formation energy without anion corrections = -1.30 eV/atom
Electronic total energy = -26.75 eV/cell
Space group = P3m1, No. 156

POSCAR file:
```
TbGdS
1.0
3.802 0.000 0.000
-1.901 3.292 0.000
0.000 0.000 6.381
Tb Gd S
1 1 1
Direct
0.000 0.000 0.000
0.667 0.333 0.475
0.333 0.667 0.739
```

=====

## CeDy2Ho3Se6 (GGA-PBE)

Data for crystalline CeDy2Ho3Se6 at its relaxed geometry.

Formation energy without anion corrections = -1.75 eV/atom
Electronic total energy = -70.79 eV/cell
Space group = C2/m, No. 12

POSCAR file:
```
CeDy2Ho3Se6
1.0
8.911 -2.032 0.000
8.911 2.032 0.000
-1.915 0.000 7.997
Ce Dy Ho Se
1 2 3 6
Direct
0.000 0.000 0.000
0.336 0.336 0.671
0.664 0.664 0.329
0.000 0.000 0.500
0.336 0.336 0.166
0.664 0.664 0.834
0.168 0.168 0.584
0.171 0.171 0.084
0.500 0.500 0.259
0.500 0.500 0.741
0.829 0.829 0.916
0.832 0.832 0.416
```

=====

## CeSm4Cd3 (GGA-PBE)

Data for crystalline CeSm4Cd3 at its relaxed geometry.

Electronic total energy = -29.22 eV/cell
Space group = P4/mmm, No. 123
Energy of formation from the pure elements = -209 meV per atom

POSCAR file:
```
CeSm4Cd3
1.0
3.714 0.000 0.000
0.000 3.714 0.000
0.000 0.000 16.498
Ce Sm Cd
1 4 3
Direct
0.000 0.000 0.000
0.500 0.500 0.139
0.500 0.500 0.381
0.500 0.500 0.619
0.500 0.500 0.861
0.000 0.000 0.259
0.000 0.000 0.500
0.000 0.000 0.741
```

=====

## As2IrAu (GGA-PBE)

Data for crystalline As2IrAu at its relaxed geometry.

Electronic total energy = -20.80 eV/cell
Space group = Imm2, No. 44
Energy of formation from the pure elements = 159 meV per atom

POSCAR file:
```
As2IrAu
1.0
-1.480 2.013 6.279
1.480 -2.013 6.279
1.480 2.013 -6.279
As Ir Au
2 1 1
Direct
0.000 0.000 0.000
0.723 0.223 0.500
0.560 0.560 0.000
0.338 0.838 0.500
```

=====

## PmTlO4 (GGA-PBE)

Data for crystalline PmTlO4 at its relaxed geometry.

Formation energy without anion corrections = -1.63 eV/atom
Electronic total energy = -36.73 eV/cell
Space group = Cm, No. 8

POSCAR file:
```
PmTlO4
1.0
3.529 -1.877 0.000
3.529 1.877 0.000
-0.524 0.000 6.474
Pm Tl O
1 1 4
Direct
0.000 0.000 0.000
0.354 0.354 0.462
0.030 0.030 0.375
0.325 0.325 0.083
0.583 0.583 0.767
0.772 0.772 0.689
```

=====

Q: Which of these has the lowest electronic total energy?
A: CeDy2Ho3Se6

=====

Q: Look up the electronic total energy of the second one.
A: -60.29 eV/cell